PBE-GGA Pr2Ho2Tl7, relaxed; calculated formation energy = 0.0497 eV/atom; size of the total moment = 0.00 μB/cell; space group = No. 65
1.0
7.2140 -0.0032 -0.4603
0.0030 7.1177 0.0033
-0.9088 -0.0026 7.1713
Pr Ho Tl
2 2 7
Cartesian
5.1386 3.5541 5.4695
1.1695 3.5578 1.2448
4.8779 7.1145 1.7406
1.4302 -0.0026 4.9737
6.7585 1.9968 3.1288
2.7030 5.1122 6.9418
-0.4504 5.1151 3.5854
3.6051 1.9997 -0.2275
0.0000 0.0000 0.0000
3.1566 5.0916 3.3561
3.1515 2.0204 3.3582

***

PBE-GGA LaZr2TcNi, relaxed; calculated formation energy = 0.6612 eV/atom; size of the total moment = 0.00 μB/cell; space group = No. 123
1.0
-0.3027 4.6664 -1.8225
0.7410 -1.8758 -4.9259
-4.9607 -0.5338 -0.5430
Ni Tc Zr La
1 1 2 1
Cartesian
-2.2612 1.1284 -3.6457
0.0000 0.0000 0.0000
-2.4803 -0.2669 -0.2715
-0.1513 2.3332 -0.9113
0.3705 -0.9379 -2.4629